Entry 1:
Density functional theory data (PBE-GGA) for crystalline NiSbBr at its relaxed geometry.

abc: 6.8570 6.5028 3.4748
angles: 80.65 69.35 30.00
With the nearest neighbours (Å) after each atom.
Atoms (fractional coordinates):
Ni 0.0000 0.0000 0.0000  2 Br 2.48, 2 Sb 2.48
Sb 0.3727 0.3727 0.6273  2 Ni 2.48
Br 0.6265 0.6265 0.3735  2 Ni 2.48

Calculated total energy ... -3.83 eV/atom
Excess energy over the best structure of this formula in the dataset ... 197 meV/atom
Spin magnetization ... 0.00 μB/f.u.
ΔE_f (raw) ... 0.029 eV/atom

---

Entry 2:
Density functional theory data (PBE-GGA) for crystalline Ac4InGe3 at its relaxed geometry.

abc: 4.3624 4.8244 12.0334
angles: 90.00 90.00 90.00
With the nearest neighbours (Å) after each atom.
Atoms (fractional coordinates):
Ac 0.0000 0.0000 0.0000  5 Ge 3.34-3.38, 2 In 3.54
Ac 0.0000 0.5000 0.4885  6 Ge 3.34-3.47, 1 In 3.56
Ac 0.5000 0.0000 0.7068  4 In 3.38, 3 Ge 3.40-3.67
Ac 0.5000 0.5000 0.2169  7 Ge 3.34-3.47
In 0.0000 0.5000 0.7847  2 Ge 2.85
Ge 0.0000 0.0000 0.2807  2 Ge 2.79
Ge 0.5000 0.0000 0.4246  2 Ge 2.79
Ge 0.5000 0.5000 0.9368  2 In 2.85

Energy of formation from the pure elements ... -0.636 eV/atom
Calculated total energy ... -4.76 eV/atom
Spin magnetization ... 0.15 μB/f.u.

---

Entry 3:
Density functional theory data (PBE-GGA) for crystalline Ta4CuNi at its relaxed geometry.

abc: 5.3379 5.3379 5.3379
angles: 60.00 60.00 60.00
With the nearest neighbours (Å) after each atom.
Atoms (fractional coordinates):
Ta 0.1249 0.1249 0.1249  6 Ta 2.67
Ta 0.1249 0.1249 0.6253  6 Ta 2.67
Ta 0.1249 0.6253 0.1249  6 Ta 2.67
Ta 0.6253 0.1249 0.1249  6 Ta 2.67
Cu 0.7500 0.7500 0.7500  12 Ta 3.13, 4 Ni 3.27
Ni 0.5000 0.5000 0.5000  12 Ta 3.13, 4 Cu 3.27

Energy of formation from the pure elements ... 0.679 eV/atom
Calculated total energy ... -8.87 eV/atom
Spin magnetization ... 0.00 μB/f.u.